[1]
Below is a PBEsol-optimized structure of LiMg, with properties calculated at the SCAN level.

Results
**Crystal system**: monoclinic
**VASP energy**: -0.274 Ry per atom
**Space-group type**: C2, No. 5
**Formation enthalpy at 0 K**: -0.040 eV per atom

abc: 5.3142 5.3142 5.8108
angles: 63.75 63.75 60.63
Last column: nearest neighbours and their distance in Å.
Sites, in units of the cell vectors:
Li 0.9955 0.3349 0.0013  7 Mg 3.03-3.10, 5 Li 3.04-3.10
Mg 0.3330 0.6670 0.0000  8 Li 3.05-3.10, 4 Mg 3.07-3.08
Li 0.5037 0.4963 0.5000  4 Li 3.04-3.10, 8 Mg 3.05-3.09
Li 0.6651 0.0045 0.9987  7 Mg 3.03-3.10, 5 Li 3.04-3.10
Mg 0.8349 0.8323 0.5021  7 Li 3.03-3.09, 5 Mg 3.04-3.10
Mg 0.1677 0.1651 0.4979  7 Li 3.03-3.09, 5 Mg 3.04-3.10



[2]
Below is a PBEsol-optimized structure of KScCd2, with properties calculated at the SCAN level.

Results
**Crystal system**: trigonal
**VASP energy**: -1.529 Ry per atom
**Space-group type**: R-3m, No. 166
**Formation enthalpy at 0 K**: 0.050 eV per atom

abc: 3.4325 3.4325 10.6906
angles: 80.76 80.76 60.00
Last column: nearest neighbours and their distance in Å.
Sites, in units of the cell vectors:
Cd 0.7385 0.7385 0.7846  3 Sc 3.01
Sc 0.0000 0.0000 0.0000  6 Cd 3.01
K 0.5000 0.5000 0.5000  6 K 3.43, 6 Cd 3.59
Cd 0.2615 0.2615 0.2154  3 Sc 3.01



[3]
Below is a PBEsol-optimized structure of TlPbAu, with properties calculated at the SCAN level.

Results
**Crystal system**: monoclinic
**VASP energy**: -5.323 Ry per atom
**Space-group type**: Cm, No. 8
**Formation enthalpy at 0 K**: 0.011 eV per atom

abc: 3.4821 3.4821 6.5822
angles: 106.09 106.09 89.85
Last column: nearest neighbours and their distance in Å.
Sites, in units of the cell vectors:
Tl 0.3539 0.3539 0.7046  4 Au 3.02-3.09
Au 0.0001 0.0001 0.0018  4 Pb 3.01-3.06, 4 Tl 3.02-3.09
Pb 0.6460 0.6460 0.2936  4 Au 3.01-3.06



[4]
Below is a PBEsol-optimized structure of LuAl8Cu4, with properties calculated at the SCAN level.

Results
**Crystal system**: tetragonal
**VASP energy**: -1.034 Ry per atom
**Space-group type**: I4/mmm, No. 139
**Formation enthalpy at 0 K**: -0.369 eV per atom

abc: 5.0567 6.6511 6.6511
angles: 81.69 67.66 67.66
Last column: nearest neighbours and their distance in Å.
Sites, in units of the cell vectors:
Al 0.6534 0.3466 0.3466  4 Cu 2.65, 5 Al 2.67-2.80
Al 0.0000 0.6534 0.3466  4 Cu 2.65, 5 Al 2.67-2.80
Al 0.3466 0.6534 0.6534  4 Cu 2.65, 5 Al 2.67-2.80
Cu 0.0000 0.5000 0.0000  2 Cu 2.53, 8 Al 2.53-2.65
Al 0.5000 0.7830 0.2170  4 Cu 2.53, 6 Al 2.67-2.80
Cu 0.5000 0.5000 0.0000  2 Cu 2.53, 8 Al 2.53-2.65
Lu 0.0000 0.0000 0.0000  12 Al 3.02-3.16, 8 Cu 3.33
Al 0.7170 0.7830 0.7830  4 Cu 2.53, 6 Al 2.67-2.80
Cu 0.0000 0.0000 0.5000  2 Cu 2.53, 8 Al 2.53-2.65
Al 0.5000 0.2170 0.7830  4 Cu 2.53, 6 Al 2.67-2.80
Al 0.2830 0.2170 0.2170  4 Cu 2.53, 6 Al 2.67-2.80
Cu 0.5000 0.0000 0.5000  2 Cu 2.53, 8 Al 2.53-2.65
Al 0.0000 0.3466 0.6534  4 Cu 2.65, 5 Al 2.67-2.80



[5]
Below is a PBEsol-optimized structure of Ag2PtAu, with properties calculated at the SCAN level.

Results
**Crystal system**: tetragonal
**VASP energy**: -3.715 Ry per atom
**Space-group type**: P4/mmm, No. 123
**Formation enthalpy at 0 K**: -0.025 eV per atom

abc: 3.9597 3.9597 4.1089
angles: 90.00 90.00 90.00
Last column: nearest neighbours and their distance in Å.
Sites, in units of the cell vectors:
Ag 0.0000 0.5000 0.0000  4 Ag 2.80, 4 Au 2.85, 4 Pt 2.85
Ag 0.5000 0.0000 0.0000  4 Ag 2.80, 4 Pt 2.85, 4 Au 2.85
Pt 0.0000 0.0000 0.5000  4 Au 2.80, 8 Ag 2.85
Au 0.5000 0.5000 0.5000  4 Pt 2.80, 8 Ag 2.85



[6]
Below is a PBEsol-optimized structure of Na2TeSe3, with properties calculated at the SCAN level.

Results
**Crystal system**: monoclinic
**VASP energy**: -1.353 Ry per atom
**Space-group type**: C2/c, No. 15
**Energy relative to the elements, uncorrected**: -0.754 eV per atom

abc: 5.9235 11.0370 11.5322
angles: 63.21 75.12 74.43
Last column: nearest neighbours and their distance in Å.
Sites, in units of the cell vectors:
Te 0.9430 0.2050 0.0042  3 Se 2.52-2.55
Te 0.1522 0.2950 0.4958  3 Se 2.52-2.55
Te 0.0570 0.7950 0.9958  3 Se 2.52-2.55
Se 0.0503 0.0327 0.8065  1 Te 2.55
Na 0.3958 0.4545 0.6919  5 Se 2.96-3.00
Se 0.7647 0.3652 0.1185  1 Te 2.52
Te 0.8478 0.7050 0.5042  3 Se 2.52-2.55
Na 0.7454 0.6193 0.8740  6 Se 2.95-3.06
Se 0.6198 0.7772 0.0431  1 Te 2.55
Na 0.2387 0.8807 0.6260  6 Se 2.95-3.06
Se 0.7516 0.8652 0.6185  1 Te 2.52
Se 0.3802 0.2228 0.9569  1 Te 2.55
Se 0.1105 0.5327 0.3065  1 Te 2.55
Na 0.4577 0.9545 0.1919  5 Se 2.96-3.00
Na 0.7613 0.1193 0.3740  6 Se 2.95-3.06
Se 0.2484 0.1348 0.3815  1 Te 2.52
Se 0.4401 0.7228 0.4569  1 Te 2.55
Se 0.2353 0.6348 0.8815  1 Te 2.52
Se 0.8895 0.4673 0.6935  1 Te 2.55
Na 0.6042 0.5455 0.3081  5 Se 2.96-3.00
Na 0.5423 0.0455 0.8081  5 Se 2.96-3.00
Se 0.5599 0.2772 0.5431  1 Te 2.55
Na 0.2546 0.3807 0.1260  6 Se 2.95-3.06
Se 0.9497 0.9673 0.1935  1 Te 2.55



[7]
Below is a PBEsol-optimized structure of SrH10S2O8, with properties calculated at the SCAN level.

Results
**Crystal system**: monoclinic
**VASP energy**: -0.538 Ry per atom
**Space-group type**: C2/c, No. 15

abc: 7.9635 10.4474 10.8205
angles: 103.98 111.59 90.00
Last column: nearest neighbours and their distance in Å.
Sites, in units of the cell vectors:
O 0.4129 0.7189 0.6348  2 H 1.00-1.02
O 0.9382 0.0106 0.6071  1 S 1.48
O 0.7169 0.1651 0.6070  1 S 1.48
O 0.3608 0.0031 0.6885  2 H 1.00-1.03
O 0.3277 0.5031 0.6885  2 H 1.00-1.03
H 0.4118 0.1301 0.0012  1 O 0.99
O 0.0618 0.9894 0.3929  1 S 1.48
H 0.2669 0.1307 0.6506  1 O 1.02
S 0.9696 0.6022 0.8641  1 S 2.02
O 0.4881 0.1115 0.9453  2 H 0.99
O 0.0398 0.5633 0.3910  1 S 1.48
H 0.1169 0.4153 0.8712  1 O 1.00
O 0.6723 0.4969 0.3115  2 H 1.00-1.03
O 0.6392 0.9969 0.3115  2 H 1.00-1.03
O 0.8310 0.1355 0.1632  2 H 0.99-1.00
H 0.6126 0.1138 0.0141  1 O 0.99
O 0.1690 0.8645 0.8368  2 H 0.99-1.00
O 0.8171 0.6656 0.1258  2 H 1.00
H 0.5985 0.3862 0.9859  1 O 0.99
O 0.6488 0.9367 0.6090  1 S 1.48
O 0.7782 0.7811 0.3652  2 H 1.00-1.02
S 0.1343 0.4515 0.3434  3 O 1.48
H 0.8056 0.5180 0.3420  1 O 1.00
O 0.2218 0.2189 0.6348  2 H 1.00-1.02
H 0.4162 0.0390 0.7944  1 O 1.03
O 0.3087 0.1656 0.1258  2 H 1.00
H 0.2154 0.2691 0.7243  1 O 1.00
O 0.6678 0.3645 0.8368  2 H 0.99-1.00
O 0.3311 0.4894 0.3929  1 S 1.48
H 0.3838 0.6307 0.6506  1 O 1.02
H 0.6218 0.4610 0.2056  1 O 1.03
O 0.3512 0.0633 0.3910  1 S 1.48
S 0.2090 0.9515 0.3434  3 O 1.48
S 0.8657 0.5485 0.6566  3 O 1.48
H 0.5365 0.0180 0.3420  1 O 1.00
O 0.5119 0.8885 0.0547  2 H 0.99
H 0.6162 0.3693 0.3494  1 O 1.02
H 0.3874 0.8862 0.9859  1 O 0.99
S 0.7910 0.0485 0.6566  3 O 1.48
H 0.4106 0.3699 0.9988  1 O 0.99
O 0.5871 0.2811 0.3652  2 H 1.00-1.02
H 0.8890 0.2134 0.1509  1 O 1.00
H 0.1944 0.4820 0.6580  1 O 1.00
H 0.5089 0.7691 0.7243  1 O 1.00
H 0.7331 0.8693 0.3494  1 O 1.02
H 0.4015 0.6138 0.0141  1 O 0.99
Sr 0.5468 0.6877 0.4417  9 O 2.51-2.81
O 0.1099 0.3349 0.3930  1 S 1.48
O 0.2831 0.8349 0.3930  1 S 1.48
O 0.1829 0.3344 0.8742  2 H 1.00
O 0.5429 0.3885 0.0547  2 H 0.99
S 0.8945 0.1022 0.8641  1 S 2.02
H 0.2619 0.7134 0.1509  1 O 1.00
H 0.7591 0.4385 0.8545  1 O 0.99
H 0.5894 0.6301 0.0012  1 O 0.99
H 0.5838 0.9610 0.2056  1 O 1.03
H 0.2458 0.0847 0.1288  1 O 1.00
H 0.4911 0.2309 0.2757  1 O 1.00
H 0.4635 0.9820 0.6580  1 O 1.00
H 0.7788 0.7658 0.8784  1 O 1.00
Sr 0.8949 0.1877 0.4417  9 O 2.51-2.81
H 0.0954 0.9385 0.8545  1 O 0.99
Sr 0.1051 0.8123 0.5583  9 O 2.51-2.81
H 0.9046 0.0615 0.1455  1 O 0.99
O 0.9602 0.4367 0.6090  1 S 1.48
S 0.1055 0.8978 0.1359  1 S 2.02
H 0.5882 0.8699 0.9988  1 O 0.99
H 0.7381 0.2866 0.8491  1 O 1.00
H 0.7846 0.7309 0.2757  1 O 1.00
O 0.4571 0.6115 0.9453  2 H 0.99
H 0.0995 0.2658 0.8784  1 O 1.00
O 0.6689 0.5106 0.6071  1 S 1.48
H 0.9005 0.7342 0.1216  1 O 1.00
H 0.1110 0.7866 0.8491  1 O 1.00
H 0.2212 0.2342 0.1216  1 O 1.00
S 0.0304 0.3978 0.1359  1 S 2.02
O 0.6913 0.8344 0.8742  2 H 1.00
Sr 0.4532 0.3123 0.5583  9 O 2.51-2.81
H 0.2409 0.5615 0.1455  1 O 0.99
H 0.3782 0.5390 0.7944  1 O 1.03
H 0.7542 0.9153 0.8712  1 O 1.00
O 0.3322 0.6355 0.1632  2 H 0.99-1.00
O 0.8901 0.6651 0.6070  1 S 1.48
H 0.8831 0.5847 0.1288  1 O 1.00



[8]
Below is a PBEsol-optimized structure of Ge3OsRh, with properties calculated at the SCAN level.

Results
**Crystal system**: cubic
**VASP energy**: -2.312 Ry per atom
**Space-group type**: Pm-3m, No. 221
**Formation enthalpy at 0 K**: 1.133 eV per atom

abc: 4.5925 4.5925 4.5925
angles: 90.00 90.00 90.00
Last column: nearest neighbours and their distance in Å.
Sites, in units of the cell vectors:
Ge 0.5000 0.0000 0.0000  2 Rh 2.30
Ge 0.0000 0.5000 0.0000  2 Rh 2.30
Ge 0.0000 0.0000 0.5000  2 Rh 2.30
Os 0.5000 0.5000 0.5000  12 Ge 3.25
Rh 0.0000 0.0000 0.0000  6 Ge 2.30